A geometry-optimized BaCuO2 structure, computed with PBE.

Geometry as CIF:
```
data_BaCuO2
_symmetry_space_group_name_H-M 'C m c m'
_symmetry_Int_Tables_number 63
_symmetry_space_group_name_Hall '-C 2c 2'
_cell_length_a 4.0170
_cell_length_b 16.6480
_cell_length_c 4.0902
_cell_angle_alpha 90.00
_cell_angle_beta 90.00
_cell_angle_gamma 90.00
loop_
_atom_site_label
_atom_site_type_symbol
_atom_site_fract_x
_atom_site_fract_y
_atom_site_fract_z
Ba1 Ba 0.0000 0.1636 0.2500
Cu1 Cu 0.0000 0.4380 0.2500
O1 O 0.0000 0.3241 0.2500
O2 O 0.0000 0.4487 0.7500
```

Output
- volume (Å³/cell) = 273.5
- ΔE_f (raw) (kcal/mol of atoms) = -37.71
- total moment (μB per cell) = 0.0



A geometry-optimized Ba2CuO structure, computed with PBE.

Geometry as CIF:
```
data_Ba2CuO
_symmetry_space_group_name_H-M 'R -3 m'
_symmetry_Int_Tables_number 166
_symmetry_space_group_name_Hall '-R 3 2"'
_cell_length_a 4.9030
_cell_length_b 4.9030
_cell_length_c 25.0619
_cell_angle_alpha 90.00
_cell_angle_beta 90.00
_cell_angle_gamma 120.00
loop_
_atom_site_label
_atom_site_type_symbol
_atom_site_fract_x
_atom_site_fract_y
_atom_site_fract_z
Ba1 Ba 0.0000 0.0000 0.0901
Cu1 Cu 0.0000 0.0000 0.5000
O1 O 0.0000 0.0000 0.0000
```

Output
- volume (Å³/cell) = 521.8
- ΔE_f (raw) (kcal/mol of atoms) = -17.88
- total moment (μB per cell) = 0.0



A geometry-optimized BaCu3O3 structure, computed with PBE.

Geometry as CIF:
```
data_BaCu3O3
_symmetry_space_group_name_H-M 'P 63/m'
_symmetry_Int_Tables_number 176
_symmetry_space_group_name_Hall '-P 6c'
_cell_length_a 8.6739
_cell_length_b 8.6739
_cell_length_c 3.3320
_cell_angle_alpha 90.00
_cell_angle_beta 90.00
_cell_angle_gamma 120.00
loop_
_atom_site_label
_atom_site_type_symbol
_atom_site_fract_x
_atom_site_fract_y
_atom_site_fract_z
Ba1 Ba 0.3333 0.6667 0.2500
Cu1 Cu 0.0074 0.2796 0.7500
O1 O 0.1250 0.7353 0.7500
```

Output
- volume (Å³/cell) = 217.1
- ΔE_f (raw) (kcal/mol of atoms) = -21.90
- total moment (μB per cell) = 0.0



A geometry-optimized BaCuO2 structure, computed with PBE.

Geometry as CIF:
```
data_BaCuO2
_symmetry_space_group_name_H-M 'R -3 m'
_symmetry_Int_Tables_number 166
_symmetry_space_group_name_Hall '-R 3 2"'
_cell_length_a 3.3185
_cell_length_b 3.3185
_cell_length_c 19.9921
_cell_angle_alpha 90.00
_cell_angle_beta 90.00
_cell_angle_gamma 120.00
loop_
_atom_site_label
_atom_site_type_symbol
_atom_site_fract_x
_atom_site_fract_y
_atom_site_fract_z
Ba1 Ba 0.0000 0.0000 0.0000
Cu1 Cu 0.0000 0.0000 0.5000
O1 O 0.0000 0.0000 0.1204
```

Output
- volume (Å³/cell) = 190.7
- ΔE_f (raw) (kcal/mol of atoms) = -9.85
- total moment (μB per cell) = 4.8



Number 1: E -5.6189 eV/atom. Number 2: E -4.0001 eV/atom. Number 3: E -5.1050 eV/atom. Number 4: E -4.4111 eV/atom.